The following is a DFT calculation (GGA-PBE) of a geometry-optimized LiAsPdPb structure.

* size of the total moment: 0.00 μB/cell
* symmetry: F-43m, No. 216
* energy of formation: -290 meV per atom
* Fermi-level density of states: 2.3 states/eV per cell

Cell: 4.744 4.744 4.744 Å, 60.00 60.00 60.00°
Sites, in units of the cell vectors:
Pd  0.500  0.500  0.500
Li  0.000  0.000  0.000
Pb  0.750  0.750  0.750
As  0.250  0.250  0.250